1.
! LiAlS2 GGA-PBE relaxed; values from VASP
&SYSTEM
  ibrav = 0, nat = 16, ntyp = 3
/
ATOMIC_SPECIES
Li 6.94 Li.upf
Al 26.98 Al.upf
S 32.06 S.upf
CELL_PARAMETERS angstrom
6.681 0.000 0.000
0.000 3.762 0.000
0.000 0.000 11.712
ATOMIC_POSITIONS angstrom
Li 0.431 0.941 1.372
Li 2.910 2.822 7.228
Li 3.772 0.941 4.484
Li 6.250 2.822 10.340
Al 0.691 2.822 4.427
Al 2.650 0.941 10.283
Al 4.031 2.822 1.429
Al 5.991 0.941 7.285
S 0.489 0.941 9.180
S 1.330 0.941 5.687
S 2.011 2.822 11.543
S 2.851 2.822 3.324
S 3.830 0.941 8.388
S 4.670 0.941 0.169
S 5.352 2.822 6.025
S 6.192 2.822 2.532
! * space group: Pnma
! * M_tot: 0.0 μB per formula unit
! * raw total energy: -73.0 eV/cell
! * uncorrected formation energy: -1082 meV/atom

2.
! LiAlS2 GGA-PBE relaxed; values from VASP
&SYSTEM
  ibrav = 0, nat = 8, ntyp = 3
/
ATOMIC_SPECIES
Li 6.94 Li.upf
Al 26.98 Al.upf
S 32.06 S.upf
CELL_PARAMETERS angstrom
3.750 0.000 0.000
-1.873 6.307 0.000
-0.002 -1.017 6.849
ATOMIC_POSITIONS angstrom
Li 0.000 0.000 0.000
Li -0.009 2.358 5.257
Al 1.872 -0.417 3.329
Al 1.872 2.998 1.619
S -0.003 -0.015 4.561
S -0.003 3.584 2.941
S 1.874 0.741 1.398
S 1.866 2.953 6.534
! * space group: P1
! * M_tot: 0.0 μB per formula unit
! * raw total energy: -37.6 eV/cell
! * uncorrected formation energy: -1226 meV/atom

3.
! LiAl2S3 GGA-PBE relaxed; values from VASP
&SYSTEM
  ibrav = 0, nat = 12, ntyp = 3
/
ATOMIC_SPECIES
Li 6.94 Li.upf
Al 26.98 Al.upf
S 32.06 S.upf
CELL_PARAMETERS angstrom
5.980 -3.901 0.000
5.980 3.901 0.000
0.000 0.000 4.967
ATOMIC_POSITIONS angstrom
Li 5.980 2.713 3.725
Li 5.980 -2.713 1.242
Al 4.019 1.276 1.242
Al 4.019 -1.276 3.725
Al 7.940 1.276 1.242
Al 7.940 -1.276 3.725
S 3.845 1.152 3.725
S 5.980 2.503 1.242
S 3.845 -1.152 1.242
S 8.114 1.152 3.725
S 5.980 -2.503 3.725
S 8.114 -1.152 1.242
! * space group: Cmcm
! * M_tot: 0.0 μB per formula unit
! * raw total energy: -54.9 eV/cell
! * uncorrected formation energy: -942 meV/atom